# CaPmTlRh

A relaxed structure of CaPmTlRh (PBE, Alexandria via LeMat-Bulk).

a = 5.1907 Å, b = 5.1907 Å, c = 5.1907 Å
α = 60.00°, β = 60.00°, γ = 60.00°
Element x y z (fractional)
Tl (0.0000, 0.0000, 0.0000)
Rh (0.5000, 0.5000, 0.5000)
Ca (0.7500, 0.7500, 0.7500)
Pm (0.2500, 0.2500, 0.2500)

Properties
The calculation puts the energy above the most stable polymorph in this dataset at 102 meV per atom. The total energy comes out at -4.4929 eV/atom. The volume comes out at 98.9 Å³/f.u. As for the formation energy: -145 kJ/mol of formula units. The spin magnetization comes out at 0.000 μB per atom.